First-principles (GGA-PBE) data for crystalline SmPu at its relaxed geometry, as listed in the Open Quantum Materials Database.

a b c (Å): 3.509 3.509 5.752
angles (deg): 90.00 90.00 120.00
Last column: magnetic moment on the atom in μB.
Fractional positions:
Pu  0.667  0.333  0.750  5.59
Sm  0.333  0.667  0.250  0.09

Properties
* calculated volume: 30.7 Å³/atom
* total DFT energy (no corrections): -18.6 eV/cell
* offset from the most stable computed form: 0.000 eV per atom